[1]
Compound: LaGa6Ni12
Source: Alexandria
Functional: PBE
Structure: optimized geometry

abc: 6.7064 6.7064 6.7064
angles: 104.98 104.98 104.98
Last column: nearest neighbours and their distance in Å.
Atoms (fractional coordinates):
Ga1 0.2710 0.7088 0.2710  7 Ni 2.32-2.47
Ga2 0.7290 0.7290 0.2912  7 Ni 2.32-2.47
Ni1 0.1148 0.8852 0.5000  4 Ga 2.32-2.39, 1 Ni 2.44
Ni2 0.3997 0.3997 0.1495  4 Ga 2.44-2.68, 4 Ni 2.60-2.66
Ni3 0.5000 0.8852 0.1148  4 Ga 2.32-2.39, 1 Ni 2.44
Ga3 0.7088 0.2710 0.2710  7 Ni 2.32-2.47
Ga4 0.2710 0.2710 0.7088  7 Ni 2.32-2.47
La1 0.0000 0.0000 0.0000  6 Ni 2.98
Ni4 0.3997 0.1495 0.3997  4 Ga 2.44-2.68, 4 Ni 2.60-2.66
Ni5 0.5000 0.1148 0.8852  4 Ga 2.32-2.39, 1 Ni 2.44
Ni6 0.6003 0.8505 0.6003  4 Ga 2.44-2.68, 4 Ni 2.60-2.66
Ni7 0.1148 0.5000 0.8852  4 Ga 2.32-2.39, 1 Ni 2.44
Ni8 0.6003 0.6003 0.8505  4 Ga 2.44-2.68, 4 Ni 2.60-2.66
Ni9 0.8852 0.5000 0.1148  4 Ga 2.32-2.39, 1 Ni 2.44
Ni10 0.8852 0.1148 0.5000  4 Ga 2.32-2.39, 1 Ni 2.44
Ga5 0.7290 0.2912 0.7290  7 Ni 2.32-2.47
Ga6 0.2912 0.7290 0.7290  7 Ni 2.32-2.47
Ni11 0.8505 0.6003 0.6003  4 Ga 2.44-2.68, 4 Ni 2.60-2.66
Ni12 0.1495 0.3997 0.3997  4 Ga 2.44-2.68, 4 Ni 2.60-2.66

Properties
Energy of formation = -240 meV/atom

[2]
Compound: Pr3Mg2Ge3
Source: Alexandria
Functional: PBE
Structure: optimized geometry

abc: 6.2767 8.7384 8.7384
angles: 120.00 90.00 90.00
Last column: nearest neighbours and their distance in Å.
Atoms (fractional coordinates):
Ge1 0.7500 0.3709 0.3709  5 Pr 2.95-3.22, 4 Mg 3.18
Pr1 0.2500 0.2878 0.2878  5 Ge 2.95-3.22
Pr2 0.2500 0.7122 0.0000  5 Ge 2.95-3.22
Pr3 0.2500 0.0000 0.7122  5 Ge 2.95-3.22
Mg1 0.5000 0.3333 0.6667  2 Mg 3.14, 6 Ge 3.18, 6 Pr 3.50
Pr4 0.7500 0.7122 0.7122  5 Ge 2.95-3.22
Ge2 0.7500 0.0000 0.6291  5 Pr 2.95-3.22, 4 Mg 3.18
Mg2 0.0000 0.6667 0.3333  2 Mg 3.14, 6 Ge 3.18, 6 Pr 3.50
Ge3 0.7500 0.6291 0.0000  5 Pr 2.95-3.22, 4 Mg 3.18
Pr5 0.7500 0.0000 0.2878  5 Ge 2.95-3.22
Ge4 0.2500 0.3709 0.0000  5 Pr 2.95-3.22, 4 Mg 3.18
Mg3 0.0000 0.3333 0.6667  2 Mg 3.14, 6 Ge 3.18, 6 Pr 3.50
Ge5 0.2500 0.6291 0.6291  5 Pr 2.95-3.22, 4 Mg 3.18
Ge6 0.2500 0.0000 0.3709  5 Pr 2.95-3.22, 4 Mg 3.18
Pr6 0.7500 0.2878 0.0000  5 Ge 2.95-3.22
Mg4 0.5000 0.6667 0.3333  2 Mg 3.14, 6 Ge 3.18, 6 Pr 3.50

Properties
Energy of formation = -591 meV/atom

[3]
Compound: LiPm3Si6Rh2
Source: Alexandria
Functional: PBE
Structure: optimized geometry

abc: 5.7128 5.7128 8.2291
angles: 90.00 90.00 120.00
Last column: nearest neighbours and their distance in Å.
Atoms (fractional coordinates):
Pm1 0.0000 0.0000 0.0000  6 Si 2.94
Si1 0.1878 0.8122 0.2768  1 Rh 2.39, 2 Si 2.49, 1 Li 2.61
Si2 0.8122 0.1878 0.7232  1 Rh 2.39, 2 Si 2.49, 1 Li 2.61
Si3 0.6245 0.8122 0.2768  1 Rh 2.39, 2 Si 2.49, 1 Li 2.61
Si4 0.3755 0.1878 0.7232  1 Rh 2.39, 2 Si 2.49, 1 Li 2.61
Si5 0.8122 0.6245 0.7232  1 Rh 2.39, 2 Si 2.49, 1 Li 2.61
Rh1 0.3333 0.6667 0.0446  3 Si 2.39
Pm2 0.3333 0.6667 0.6095  9 Si 3.01-3.09
Si6 0.1878 0.3755 0.2768  1 Rh 2.39, 2 Si 2.49, 1 Li 2.61
Rh2 0.6667 0.3333 0.9554  3 Si 2.39
Pm3 0.6667 0.3333 0.3905  9 Si 3.01-3.09
Li1 0.0000 0.0000 0.5000  6 Si 2.61

Properties
Formation energy without anion corrections = -41 kJ per mole of atoms

[4]
Compound: K3In3Au2
Source: Alexandria
Functional: PBE
Structure: optimized geometry

abc: 4.7819 6.7870 17.4113
angles: 90.00 90.00 110.63
Last column: nearest neighbours and their distance in Å.
Atoms (fractional coordinates):
K1 0.9472 0.8944 0.3937  3 Au 3.61-3.64, 7 In 3.74-3.84, 1 K 3.94
In1 0.3354 0.6707 0.9619  3 Au 2.83-2.89
K2 0.0528 0.1056 0.6063  3 Au 3.61-3.64, 7 In 3.74-3.84, 1 K 3.94
K3 0.6277 0.2554 0.2500  5 In 3.55-3.72, 4 Au 3.67
Au1 0.7683 0.5367 0.6096  4 In 2.77-2.89
In2 0.6646 0.3293 0.4619  3 Au 2.83-2.89
In3 0.6646 0.3293 0.0381  3 Au 2.83-2.89
Au2 0.2317 0.4633 0.3904  4 In 2.77-2.89
K4 0.3723 0.7446 0.7500  5 In 3.55-3.72, 4 Au 3.67
K5 0.0528 0.1056 0.8937  3 Au 3.61-3.64, 7 In 3.74-3.84, 1 K 3.94
K6 0.9472 0.8944 0.1063  3 Au 3.61-3.64, 7 In 3.74-3.84, 1 K 3.94
Au3 0.7683 0.5367 0.8904  4 In 2.77-2.89
In4 0.3346 0.6693 0.2500  2 Au 2.77
In5 0.3354 0.6707 0.5381  3 Au 2.83-2.89
In6 0.6654 0.3307 0.7500  2 Au 2.77
Au4 0.2317 0.4633 0.1096  4 In 2.77-2.89

Properties
Energy of formation = -239 meV/atom
Energy relative to the lowest polymorph listed for this composition = 0 meV per atom

[5]
Compound: SrTaSi2S8
Source: Alexandria
Functional: PBE
Structure: optimized geometry

abc: 6.0507 6.0507 8.5027
angles: 90.00 90.00 120.00
Last column: nearest neighbours and their distance in Å.
Atoms (fractional coordinates):
Sr1 0.0000 0.0000 0.0000  12 S 3.41-3.50
S1 0.3333 0.6667 0.9854  1 Si 2.10
S2 0.6724 0.9936 0.3282  1 Si 2.15
S3 0.3213 0.3276 0.3282  1 Si 2.15
Ta1 0.0000 0.0000 0.5000  6 S 2.45
S4 0.3276 0.0064 0.6718  1 Si 2.15
Si1 0.3333 0.6667 0.7379  4 S 2.10-2.15
S5 0.9936 0.3213 0.6718  1 Si 2.15
S6 0.6787 0.6724 0.6718  1 Si 2.15
S7 0.6667 0.3333 0.0146  1 Si 2.10
S8 0.0064 0.6787 0.3282  1 Si 2.15
Si2 0.6667 0.3333 0.2621  4 S 2.10-2.15

Properties
Formation energy without anion corrections = -74 kJ per mole of atoms

[6]
Compound: Li2Ac3Au3
Source: Alexandria
Functional: PBE
Structure: optimized geometry

abc: 4.2664 7.0329 15.4948
angles: 90.00 90.00 107.66
Last column: nearest neighbours and their distance in Å.
Atoms (fractional coordinates):
Li1 0.2272 0.4544 0.0696  3 Au 2.70-2.87
Au1 0.6634 0.3267 0.7500  2 Li 3.16, 6 Ac 3.21-3.26
Li2 0.7728 0.5456 0.9304  3 Au 2.70-2.87
Ac1 0.3424 0.6849 0.7500  4 Au 3.21-3.23
Au2 0.6061 0.2121 0.4537  3 Li 2.70-2.87
Li3 0.7728 0.5456 0.5696  3 Au 2.70-2.87
Li4 0.2272 0.4544 0.4304  3 Au 2.70-2.87
Au3 0.3366 0.6733 0.2500  2 Li 3.16, 6 Ac 3.21-3.26
Au4 0.3939 0.7879 0.9537  3 Li 2.70-2.87
Ac2 0.9320 0.8639 0.3859  6 Au 3.26-3.33, 3 Li 3.54-3.56
Ac3 0.9320 0.8639 0.1141  6 Au 3.26-3.33, 3 Li 3.54-3.56
Ac4 0.0680 0.1361 0.6141  6 Au 3.26-3.33, 3 Li 3.54-3.56
Ac5 0.0680 0.1361 0.8859  6 Au 3.26-3.33, 3 Li 3.54-3.56
Ac6 0.6576 0.3151 0.2500  4 Au 3.21-3.23
Au5 0.6061 0.2121 0.0463  3 Li 2.70-2.87
Au6 0.3939 0.7879 0.5463  3 Li 2.70-2.87

Properties
Energy of formation = -630 meV/atom
Energy relative to the lowest polymorph listed for this composition = 0 meV per atom

[7]
Compound: BePd
Source: Alexandria
Functional: PBE
Structure: optimized geometry

abc: 6.9225 6.9225 6.9225
angles: 90.00 90.00 90.00
Last column: nearest neighbours and their distance in Å.
Atoms (fractional coordinates):
Pd1 0.6477 0.6477 0.3523  4 Be 2.16-2.23
Pd2 0.8523 0.8523 0.8523  4 Be 2.16-2.23
Be1 0.1720 0.1720 0.1720  4 Pd 2.16-2.23
Be2 0.8280 0.8280 0.1720  4 Pd 2.16-2.23
Be3 0.6720 0.6720 0.6720  4 Pd 2.16-2.23
Pd3 0.8523 0.1477 0.1477  4 Be 2.16-2.23
Pd4 0.3523 0.6477 0.6477  4 Be 2.16-2.23
Be4 0.3280 0.6720 0.3280  4 Pd 2.16-2.23
Pd5 0.1477 0.1477 0.8523  4 Be 2.16-2.23
Be5 0.6720 0.3280 0.3280  4 Pd 2.16-2.23
Pd6 0.6477 0.3523 0.6477  4 Be 2.16-2.23
Pd7 0.3523 0.3523 0.3523  4 Be 2.16-2.23
Be6 0.1720 0.8280 0.8280  4 Pd 2.16-2.23
Pd8 0.1477 0.8523 0.1477  4 Be 2.16-2.23
Be7 0.3280 0.3280 0.6720  4 Pd 2.16-2.23
Be8 0.8280 0.1720 0.8280  4 Pd 2.16-2.23

Properties
Energy of formation = 422 meV/atom

[8]
Compound: SmPuSc2
Source: Alexandria
Functional: PBE
Structure: optimized geometry

abc: 4.6318 4.8314 4.8314
angles: 90.00 90.00 90.00
Last column: nearest neighbours and their distance in Å.
Atoms (fractional coordinates):
Pu1 0.5000 0.0000 0.0000  8 Sc 3.35, 4 Sm 3.42
Sc1 0.0000 0.0000 0.5000  4 Sm 3.35, 4 Pu 3.35, 4 Sc 3.42
Sc2 0.0000 0.5000 0.0000  4 Pu 3.35, 4 Sm 3.35, 4 Sc 3.42
Sm1 0.5000 0.5000 0.5000  8 Sc 3.35, 4 Pu 3.42

Properties
Energy of formation = 149 meV/atom
Energy relative to the lowest polymorph listed for this composition = 42 meV per atom

[9]
Compound: Be2AlAs
Source: Alexandria
Functional: PBE
Structure: optimized geometry

abc: 4.2776 4.2776 4.2776
angles: 60.00 60.00 60.00
Last column: nearest neighbours and their distance in Å.
Atoms (fractional coordinates):
Be1 0.0000 0.0000 0.0000  4 Be 2.62, 4 As 2.62
As1 0.7500 0.7500 0.7500  4 Al 2.62, 4 Be 2.62
Al1 0.5000 0.5000 0.5000  4 Be 2.62, 4 As 2.62
Be2 0.2500 0.2500 0.2500  4 Al 2.62, 4 Be 2.62

Properties
Energy of formation = 608 meV/atom
Energy relative to the lowest polymorph listed for this composition = 389 meV per atom

[10]
Compound: BeTl2Se
Source: Alexandria
Functional: PBE
Structure: optimized geometry

abc: 4.1915 6.4152 6.6598
angles: 38.79 90.00 90.00
Last column: nearest neighbours and their distance in Å.
Atoms (fractional coordinates):
Tl1 0.0000 0.3633 0.4283  2 Be 2.77
Tl2 0.0000 0.1367 0.0717  2 Be 2.77
Be1 0.5000 0.2500 0.2500  2 Se 2.17
Se1 0.5000 0.7500 0.7500  2 Be 2.17

Properties
Formation energy without anion corrections = 11 kJ per mole of atoms
Energy relative to the lowest polymorph listed for this composition = 306 meV per atom

[11]
Compound: LiTb3Rh2
Source: Alexandria
Functional: PBE
Structure: optimized geometry

abc: 6.5573 7.1005 8.0338
angles: 116.23 114.09 90.00
Last column: nearest neighbours and their distance in Å.
Atoms (fractional coordinates):
Rh1 0.4379 0.6402 0.2804  1 Li 2.66, 6 Tb 2.81-2.88
Tb1 0.5000 0.7500 0.0000  4 Rh 2.85
Li1 0.0000 0.0000 0.0000  2 Rh 2.66
Li2 0.0000 0.5000 0.0000  2 Rh 2.66
Tb2 0.7837 0.5337 0.5673  4 Rh 2.81-2.88
Rh2 0.1575 0.8598 0.7196  1 Li 2.66, 6 Tb 2.81-2.88
Rh3 0.8425 0.1402 0.2804  1 Li 2.66, 6 Tb 2.81-2.88
Tb3 0.7837 0.0337 0.5673  4 Rh 2.81-2.88
Rh4 0.5621 0.3598 0.7196  1 Li 2.66, 6 Tb 2.81-2.88
Tb4 0.2163 0.9663 0.4327  4 Rh 2.81-2.88
Tb5 0.2163 0.4663 0.4327  4 Rh 2.81-2.88
Tb6 0.5000 0.2500 0.0000  4 Rh 2.85

Properties
Energy of formation = -531 meV/atom
Energy relative to the lowest polymorph listed for this composition = 76 meV per atom

[12]
Compound: TcMoC
Source: Alexandria
Functional: PBE
Structure: optimized geometry

abc: 5.6199 5.6199 5.9528
angles: 105.79 105.79 115.07
Last column: nearest neighbours and their distance in Å.
Atoms (fractional coordinates):
Tc1 0.6641 0.9095 0.1595  3 C 2.07-2.10
Tc2 0.7500 0.5046 0.8405  3 C 2.07-2.10
Tc3 0.6595 0.9141 0.6595  3 C 2.07-2.10
C1 0.9579 0.9676 0.4987  3 Tc 2.07-2.10, 3 Mo 2.10-2.15
Mo1 0.1748 0.4139 0.1519  3 C 2.10-2.15
C2 0.4689 0.4593 0.5013  3 Tc 2.07-2.10, 3 Mo 2.10-2.15
Mo2 0.1639 0.4248 0.6519  3 C 2.10-2.15
Tc4 0.2546 0.0000 0.3405  3 C 2.07-2.10
C3 0.7176 0.2079 0.9987  3 Tc 2.07-2.10, 3 Mo 2.10-2.15
Mo3 0.7728 0.5120 0.3481  3 C 2.10-2.15
C4 0.2093 0.7189 0.0013  3 Tc 2.07-2.10, 3 Mo 2.10-2.15
Mo4 0.2620 0.0228 0.8481  3 C 2.10-2.15

Properties
Energy of formation = -11 meV/atom
Energy relative to the lowest polymorph listed for this composition = 0 meV per atom

Repeat the eleventh record exactly.
Compound: LiTb3Rh2
Source: Alexandria
Functional: PBE
Structure: optimized geometry

abc: 6.5573 7.1005 8.0338
angles: 116.23 114.09 90.00
Last column: nearest neighbours and their distance in Å.
Atoms (fractional coordinates):
Rh1 0.4379 0.6402 0.2804  1 Li 2.66, 6 Tb 2.81-2.88
Tb1 0.5000 0.7500 0.0000  4 Rh 2.85
Li1 0.0000 0.0000 0.0000  2 Rh 2.66
Li2 0.0000 0.5000 0.0000  2 Rh 2.66
Tb2 0.7837 0.5337 0.5673  4 Rh 2.81-2.88
Rh2 0.1575 0.8598 0.7196  1 Li 2.66, 6 Tb 2.81-2.88
Rh3 0.8425 0.1402 0.2804  1 Li 2.66, 6 Tb 2.81-2.88
Tb3 0.7837 0.0337 0.5673  4 Rh 2.81-2.88
Rh4 0.5621 0.3598 0.7196  1 Li 2.66, 6 Tb 2.81-2.88
Tb4 0.2163 0.9663 0.4327  4 Rh 2.81-2.88
Tb5 0.2163 0.4663 0.4327  4 Rh 2.81-2.88
Tb6 0.5000 0.2500 0.0000  4 Rh 2.85

Properties
Energy of formation = -531 meV/atom
Energy relative to the lowest polymorph listed for this composition = 76 meV per atom